No. 1
First-principles (PBE) data for crystalline BiIO2 at its relaxed geometry, as listed in the Alexandria database.

```
BiIO2
1.0
-3.3621 3.3621 4.8215
3.3621 -3.3621 4.8215
3.3621 3.3621 -4.8215
Bi I O
2 2 4
Direct
0.0000 0.0000 0.0000
0.7500 0.2500 0.5000
0.2500 0.7500 0.5000
0.5000 0.5000 0.0000
0.3750 0.1815 0.3065
0.8185 0.1250 0.1935
0.8750 0.0685 0.6935
0.9315 0.6250 0.8065
```

Energy relative to the elements, uncorrected (eV/atom): -0.323
DOS(E_F) (states/eV per atom): 0.5423

***

No. 2
First-principles (PBE) data for crystalline BiI2O at its relaxed geometry, as listed in the Alexandria database.

```
BiI2O
1.0
3.2728 -1.9897 0.0000
3.2728 1.9897 0.0000
-0.1724 0.0000 10.1105
Bi I O
1 2 1
Direct
0.0000 0.0000 0.0000
0.6498 0.6498 0.7437
0.9969 0.9969 0.3203
0.3376 0.3376 0.0411
```

Energy relative to the elements, uncorrected (eV/atom): -0.430
DOS(E_F) (states/eV per atom): 0.7963

***

No. 3
First-principles (PBE) data for crystalline Bi2IO6 at its relaxed geometry, as listed in the Alexandria database.

```
Bi2IO6
1.0
5.2024 0.0000 0.0000
0.0000 5.2024 0.0000
0.0000 0.0000 10.4912
Bi I O
4 2 12
Direct
0.0000 0.0000 0.1643
0.0000 0.0000 0.8357
0.5000 0.5000 0.3357
0.5000 0.5000 0.6643
0.0000 0.0000 0.5000
0.5000 0.5000 0.0000
0.1826 0.1826 0.3534
0.1826 0.1826 0.6466
0.2264 0.2264 0.0000
0.2736 0.7264 0.5000
0.3174 0.6826 0.1466
0.3174 0.6826 0.8534
0.6826 0.3174 0.1466
0.6826 0.3174 0.8534
0.7264 0.2736 0.5000
0.7736 0.7736 0.0000
0.8174 0.8174 0.3534
0.8174 0.8174 0.6466
```

Energy relative to the elements, uncorrected (eV/atom): -0.749
DOS(E_F) (states/eV per atom): 0.1791

***

No. 4
First-principles (PBE) data for crystalline BiI2O2 at its relaxed geometry, as listed in the Alexandria database.

```
BiI2O2
1.0
5.0872 0.0000 0.0000
0.0000 5.0872 0.0000
0.0000 0.0000 4.1224
Bi I O
1 2 2
Direct
0.0000 0.0000 0.0000
0.0000 0.5000 0.5000
0.5000 0.0000 0.5000
0.5000 0.5000 0.0000
0.5000 0.5000 0.5000
```

Energy relative to the elements, uncorrected (eV/atom): 0.631
DOS(E_F) (states/eV per atom): 0.4527

***

No. 5
First-principles (PBE) data for crystalline BiIO at its relaxed geometry, as listed in the Alexandria database.

```
BiIO
1.0
5.6610 -2.0377 0.0000
5.6610 2.0377 0.0000
-2.1812 0.0000 7.7322
Bi I O
2 2 2
Direct
0.2122 0.2122 0.3127
0.7878 0.7878 0.6873
0.0981 0.0981 0.8144
0.9019 0.9019 0.1856
0.3258 0.3258 0.5770
0.6742 0.6742 0.4230
```

Energy relative to the elements, uncorrected (eV/atom): -0.853
DOS(E_F) (states/eV per atom): 0.0000

***

No. 6
First-principles (PBE) data for crystalline Bi2IO6 at its relaxed geometry, as listed in the Alexandria database.

```
Bi2IO6
1.0
5.7091 0.0000 0.0000
0.0000 6.1074 0.0000
-5.6916 0.0000 9.1364
Bi I O
4 2 12
Direct
0.2090 0.0009 0.2094
0.2090 0.4991 0.7094
0.7910 0.5009 0.2906
0.7910 0.9991 0.7906
0.5000 0.0000 0.0000
0.5000 0.5000 0.5000
0.1891 0.1602 0.9998
0.1891 0.3398 0.4998
0.2035 0.6932 0.3435
0.2035 0.8068 0.8435
0.4823 0.1912 0.8421
0.4823 0.3088 0.3421
0.5177 0.6912 0.6579
0.5177 0.8088 0.1579
0.7965 0.1932 0.1565
0.7965 0.3068 0.6565
0.8109 0.6602 0.5002
0.8109 0.8398 0.0002
```

Energy relative to the elements, uncorrected (eV/atom): -0.745
DOS(E_F) (states/eV per atom): 0.4227

***

No. 7
First-principles (PBE) data for crystalline Bi3IO3 at its relaxed geometry, as listed in the Alexandria database.

```
Bi3IO3
1.0
3.4891 2.0145 8.0001
-3.4891 2.0145 8.0001
0.0000 -4.0289 8.0001
Bi I O
6 2 6
Direct
0.1152 0.3857 0.8210
0.1790 0.8848 0.6143
0.3857 0.8210 0.1152
0.6143 0.1790 0.8848
0.8210 0.1152 0.3857
0.8848 0.6143 0.1790
0.3306 0.3306 0.3306
0.6694 0.6694 0.6694
0.1025 0.7808 0.5168
0.2192 0.4832 0.8975
0.4832 0.8975 0.2192
0.5168 0.1025 0.7808
0.7808 0.5168 0.1025
0.8975 0.2192 0.4832
```

Energy relative to the elements, uncorrected (eV/atom): -0.857
DOS(E_F) (states/eV per atom): 0.0215

***

No. 8
First-principles (PBE) data for crystalline Bi2IO at its relaxed geometry, as listed in the Alexandria database.

```
Bi2IO
1.0
-2.9692 2.9692 7.3787
2.9692 -2.9692 7.3787
2.9692 2.9692 -7.3787
Bi I O
4 2 2
Direct
0.3750 0.2190 0.3440
0.7810 0.1250 0.1560
0.8750 0.0310 0.6560
0.9690 0.6250 0.8440
0.2500 0.7500 0.5000
0.5000 0.5000 0.0000
0.0000 0.0000 0.0000
0.7500 0.2500 0.5000
```

Energy relative to the elements, uncorrected (eV/atom): -0.238
DOS(E_F) (states/eV per atom): 0.8141

***

No. 9
First-principles (PBE) data for crystalline Bi2IO3 at its relaxed geometry, as listed in the Alexandria database.

```
Bi2IO3
1.0
6.4916 -2.0220 0.0000
6.4916 2.0220 0.0000
-2.4233 0.0000 10.6205
Bi I O
4 2 6
Direct
0.0238 0.0238 0.2735
0.3523 0.3523 0.4412
0.6477 0.6477 0.5588
0.9762 0.9762 0.7265
0.3780 0.3780 0.9947
0.6220 0.6220 0.0053
0.1220 0.1220 0.6614
0.1701 0.1701 0.4262
0.4764 0.4764 0.6322
0.5236 0.5236 0.3678
0.8299 0.8299 0.5738
0.8780 0.8780 0.3386
```

Energy relative to the elements, uncorrected (eV/atom): -0.931
DOS(E_F) (states/eV per atom): 0.4719

***

No. 10
First-principles (PBE) data for crystalline Bi6IO12 at its relaxed geometry, as listed in the Alexandria database.

```
Bi6IO12
1.0
5.2480 3.0300 3.1977
-5.2480 3.0300 3.1977
0.0000 -6.0599 3.1977
Bi I O
6 1 12
Direct
0.0914 0.8068 0.6486
0.1932 0.3514 0.9086
0.3514 0.9086 0.1932
0.6486 0.0914 0.8068
0.8068 0.6486 0.0914
0.9086 0.1932 0.3514
0.5000 0.5000 0.5000
0.0674 0.9324 0.3132
0.0676 0.6868 0.9326
0.2095 0.4119 0.5294
0.3132 0.0674 0.9324
0.4119 0.5294 0.2095
0.4706 0.7905 0.5881
0.5294 0.2095 0.4119
0.5881 0.4706 0.7905
0.6868 0.9326 0.0676
0.7905 0.5881 0.4706
0.9324 0.3132 0.0674
0.9326 0.0676 0.6868
```

Energy relative to the elements, uncorrected (eV/atom): -1.026
DOS(E_F) (states/eV per atom): 0.3109

***

No. 11
First-principles (PBE) data for crystalline BiI2O2 at its relaxed geometry, as listed in the Alexandria database.

```
BiI2O2
1.0
6.2163 0.0000 0.0000
0.0000 6.2163 0.0000
0.0000 0.0000 4.2435
Bi I O
1 2 2
Direct
0.0000 0.0000 0.0000
0.0000 0.5000 0.0000
0.5000 0.0000 0.0000
0.0000 0.0000 0.5000
0.5000 0.5000 0.5000
```

Energy relative to the elements, uncorrected (eV/atom): 0.367
DOS(E_F) (states/eV per atom): 0.9995

***

No. 12
First-principles (PBE) data for crystalline BiI2O at its relaxed geometry, as listed in the Alexandria database.

```
BiI2O
1.0
-3.4582 3.4582 5.7784
3.4582 -3.4582 5.7784
3.4582 3.4582 -5.7784
Bi I O
2 4 2
Direct
0.3750 0.6250 0.7500
0.6250 0.3750 0.2500
0.0000 0.0000 0.0000
0.0000 0.0000 0.5000
0.0000 0.5000 0.0000
0.5000 0.0000 0.5000
0.1250 0.8750 0.2500
0.8750 0.1250 0.7500
```

Energy relative to the elements, uncorrected (eV/atom): 0.515
DOS(E_F) (states/eV per atom): 0.9345